(1)
Density functional theory data (meta-GGA SCAN) for a crystal of CoP2RuCl relaxed with PBEsol.

Cell: 4.1682 4.1682 4.4619 Å, 90.00 90.00 90.00°
Closest atoms and distances in Å follow each position.
Element x y z (fractional)
Ru 0.5000 0.5000 0.5000  4 Cl 2.95, 8 P 3.05
Co 0.0000 0.0000 0.0000  4 P 2.08, 2 Cl 2.23
P 0.0000 0.5000 0.0000  2 Co 2.08
P 0.5000 0.0000 0.0000  2 Co 2.08
Cl 0.0000 0.0000 0.5000  2 Co 2.23

## Properties
VASP energy = -15.31 eV per atom
crystal system = tetragonal
formation energy (no corrections) = 870 meV/atom

=====

(2)
Density functional theory data (meta-GGA SCAN) for a crystal of RhCSeBr2 relaxed with PBEsol.

Cell: 4.4899 4.3707 4.3707 Å, 90.00 90.00 90.00°
Closest atoms and distances in Å follow each position.
Element x y z (fractional)
C 0.0000 0.0000 0.0000  4 Br 2.19, 2 Se 2.24
Rh 0.5000 0.5000 0.5000  4 Se 3.09, 8 Br 3.13
Se 0.5000 0.0000 0.0000  2 C 2.24
Br 0.0000 0.0000 0.5000  2 C 2.19
Br 0.0000 0.5000 0.0000  2 C 2.19

## Properties
VASP energy = -19.00 eV per atom
crystal system = tetragonal
formation energy (no corrections) = 1572 meV/atom

=====

(3)
Density functional theory data (meta-GGA SCAN) for a crystal of BaCa2Al relaxed with PBEsol.

Cell: 3.9459 3.9459 9.4290 Å, 90.00 90.00 90.00°
Closest atoms and distances in Å follow each position.
Element x y z (fractional)
Ca 0.0000 0.0000 0.9678  8 Ca 3.81-3.95, 1 Al 4.09, 4 Ba 4.23
Ca 0.5000 0.5000 0.6932  4 Al 3.17
Ba 0.5000 0.5000 0.3051  4 Al 3.53, 1 Ca 3.66, 4 Ba 3.95
Al 0.0000 0.0000 0.5339  4 Ca 3.17, 4 Ba 3.53

## Properties
VASP energy = -16.72 eV per atom
crystal system = tetragonal
energy of formation from the pure elements = -0.06 eV per atom

=====

(4)
Density functional theory data (meta-GGA SCAN) for a crystal of Be2GeBi relaxed with PBEsol.

Cell: 4.5859 4.5859 4.5859 Å, 60.00 60.00 60.00°
Closest atoms and distances in Å follow each position.
Element x y z (fractional)
Be 0.2500 0.2500 0.2500  4 Ge 2.81, 4 Bi 2.81
Be 0.7500 0.7500 0.7500  4 Bi 2.81, 4 Ge 2.81
Ge 0.0000 0.0000 0.0000  8 Be 2.81
Bi 0.5000 0.5000 0.5000  8 Be 2.81

## Properties
VASP energy = -25.82 eV per atom
crystal system = cubic
energy of formation from the pure elements = 0.77 eV per atom

=====

(5)
Density functional theory data (meta-GGA SCAN) for a crystal of KCeGeSe4 relaxed with PBEsol.

Cell: 6.7883 6.9729 8.9603 Å, 90.00 108.46 90.00°
Closest atoms and distances in Å follow each position.
Element x y z (fractional)
K 0.2499 0.2828 0.9389  7 Se 3.32-3.51
K 0.7501 0.7828 0.0611  7 Se 3.32-3.51
Ce 0.7289 0.7869 0.5537  7 Se 2.96-3.09
Ce 0.2711 0.2869 0.4463  7 Se 2.96-3.09
Ge 0.7181 0.2545 0.3203  4 Se 2.34-2.38
Ge 0.2819 0.7545 0.6797  4 Se 2.34-2.38
Se 0.9190 0.2530 0.1510  1 Ge 2.34
Se 0.0810 0.7530 0.8490  1 Ge 2.34
Se 0.4937 0.0335 0.7149  1 Ge 2.38
Se 0.9327 0.1866 0.5802  1 Ge 2.37
Se 0.0673 0.6866 0.4198  1 Ge 2.37
Se 0.4627 0.0074 0.2696  1 Ge 2.38
Se 0.5373 0.5074 0.7304  1 Ge 2.38
Se 0.5063 0.5335 0.2851  1 Ge 2.38

## Properties
VASP energy = -23.04 eV per atom
crystal system = monoclinic
formation energy (no corrections) = -1285 meV/atom

=====

(6)
Density functional theory data (meta-GGA SCAN) for a crystal of TaPd2Au relaxed with PBEsol.

Cell: 4.4614 4.4614 4.4614 Å, 60.00 60.00 60.00°
Closest atoms and distances in Å follow each position.
Element x y z (fractional)
Au 0.5000 0.5000 0.5000  8 Pd 2.73
Pd 0.2500 0.2500 0.2500  4 Au 2.73, 4 Ta 2.73
Pd 0.7500 0.7500 0.7500  4 Ta 2.73, 4 Au 2.73
Ta 0.0000 0.0000 0.0000  8 Pd 2.73

## Properties
VASP energy = -50.56 eV per atom
crystal system = cubic
energy of formation from the pure elements = -0.24 eV per atom